Record 1
{
  "formula": "CdWAu",
  "functional": "GGA-PBE",
  "state": "relaxed",
  "e_form_ev_per_atom": 1.163,
  "relative_energy_mev_per_atom": 170,
  "vol_a3_per_cell": 64,
  "energy_ev_per_cell": -13.6,
  "lattice": [[-1.9678, -3.1684, 2.4885], [-1.0927, 0.8548, 4.2637], [-4.3081, 0.4213, 1.1690]],
  "species": ["Cd", "Au", "W"],
  "frac_coords": [[0.7500, 0.7500, 0.7500], [0.2500, 0.2500, 0.2500], [0.0000, 0.0000, 0.0000]]
}

Record 2
{
  "formula": "Ta",
  "functional": "GGA-PBE",
  "state": "relaxed",
  "e_form_ev_per_atom": 0.417,
  "relative_energy_mev_per_atom": 417,
  "vol_a3_per_cell": 36,
  "energy_ev_per_cell": -22.9,
  "lattice": [[0.1270, -3.2058, -0.1635], [-0.6986, -1.4968, -2.7553], [4.1010, 1.7789, -0.1333]],
  "species": ["Ta", "Ta"],
  "frac_coords": [[0.2502, 0.2502, 0.7505], [0.7498, 0.7498, 0.2495]]
}

Record 3
{
  "formula": "TbBiN2O",
  "functional": "GGA-PBE",
  "state": "relaxed",
  "vol_a3_per_cell": 145,
  "energy_ev_per_cell": -66.3,
  "lattice": [[2.1855, 0.7543, 5.5090], [0.2361, 4.3488, -4.0898], [-5.8588, -0.2239, -1.1485]],
  "species": ["Bi", "Bi", "N", "N", "N", "N", "Tb", "Tb", "O", "O"],
  "frac_coords": [[0.7119, 0.2119, 0.5000], [0.7119, 0.7119, 0.0000], [0.6895, 0.0380, 0.8241], [0.2140, 0.5380, 0.8486], [0.2140, 0.8654, 0.1759], [0.6895, 0.3654, 0.1514], [0.1547, 0.4369, 0.2177], [0.2192, 0.9369, 0.7823], [0.9213, 0.0284, 0.3929], [0.6356, 0.5284, 0.6071]]
}